[1]
VASP calculation (PBE) on crystalline PuMgRuO6 at its relaxed geometry.

Summary:
uncorrected formation energy: -1.904 eV per atom
crystal system: trigonal

Lattice parameters (Å, degrees): 5.2477 5.2477 8.8048 90.00 90.00 120.00
Fractional positions:
Pu: 0.3333 0.6667 0.2500
Pu: 0.6667 0.3333 0.7500
Mg: 0.3333 0.6667 0.7500
Mg: 0.6667 0.3333 0.2500
Ru: 0.0000 0.0000 0.0000
Ru: 0.0000 0.0000 0.5000
O: 0.0045 0.3229 0.1256
O: 0.0045 0.6816 0.3744
O: 0.3184 0.3229 0.3744
O: 0.3184 0.9955 0.1256
O: 0.3229 0.0045 0.6256
O: 0.3229 0.3184 0.8744
O: 0.6771 0.6816 0.1256
O: 0.6771 0.9955 0.3744
O: 0.6816 0.0045 0.8744
O: 0.6816 0.6771 0.6256
O: 0.9955 0.3184 0.6256
O: 0.9955 0.6771 0.8744

=====

[2]
VASP calculation (PBE) on crystalline PuMg2ScO6 at its relaxed geometry.

Summary:
uncorrected formation energy: -2.886 eV per atom
crystal system: trigonal

Lattice parameters (Å, degrees): 5.7384 5.7384 5.7384 55.89 55.89 55.89
Fractional positions:
Pu: 0.0000 0.0000 0.0000
Mg: 0.2959 0.2959 0.2959
Mg: 0.7918 0.7918 0.7918
Sc: 0.5032 0.5032 0.5032
O: 0.1010 0.4041 0.7006
O: 0.2044 0.9014 0.5994
O: 0.4041 0.7006 0.1010
O: 0.5994 0.2044 0.9014
O: 0.7006 0.1010 0.4041
O: 0.9014 0.5994 0.2044

=====

[3]
VASP calculation (PBE) on crystalline PuMgScO6 at its relaxed geometry.

Summary:
uncorrected formation energy: -2.653 eV per atom
crystal system: trigonal

Lattice parameters (Å, degrees): 5.4167 5.4167 9.0051 90.00 90.00 120.00
Fractional positions:
Pu: 0.3333 0.6667 0.2500
Pu: 0.6667 0.3333 0.7500
Mg: 0.0000 0.0000 0.0000
Mg: 0.0000 0.0000 0.5000
Sc: 0.3333 0.6667 0.7500
Sc: 0.6667 0.3333 0.2500
O: 0.0149 0.3522 0.1323
O: 0.0149 0.6627 0.3677
O: 0.3372 0.3522 0.3677
O: 0.3372 0.9851 0.1323
O: 0.3522 0.0149 0.6323
O: 0.3522 0.3372 0.8677
O: 0.6478 0.6627 0.1323
O: 0.6478 0.9851 0.3677
O: 0.6627 0.0149 0.8677
O: 0.6627 0.6478 0.6323
O: 0.9851 0.3372 0.6323
O: 0.9851 0.6478 0.8677

=====

[4]
VASP calculation (PBE) on crystalline PuMgSiO6 at its relaxed geometry.

Summary:
uncorrected formation energy: -2.457 eV per atom
crystal system: trigonal

Lattice parameters (Å, degrees): 5.1017 5.1017 8.9795 90.00 90.00 120.00
Fractional positions:
Pu: 0.3333 0.6667 0.2500
Pu: 0.6667 0.3333 0.7500
Mg: 0.0000 0.0000 0.0000
Mg: 0.0000 0.0000 0.5000
Si: 0.3333 0.6667 0.7500
Si: 0.6667 0.3333 0.2500
O: 0.0397 0.3705 0.6369
O: 0.0397 0.6692 0.8631
O: 0.3308 0.3705 0.8631
O: 0.3308 0.9603 0.6369
O: 0.3705 0.0397 0.1369
O: 0.3705 0.3308 0.3631
O: 0.6295 0.6692 0.6369
O: 0.6295 0.9603 0.8631
O: 0.6692 0.0397 0.3631
O: 0.6692 0.6295 0.1369
O: 0.9603 0.3308 0.1369
O: 0.9603 0.6295 0.3631

=====

[5]
VASP calculation (PBE) on crystalline SmPuMgO6 at its relaxed geometry.

Summary:
uncorrected formation energy: -2.736 eV per atom
crystal system: trigonal

Lattice parameters (Å, degrees): 5.3857 5.3857 10.0505 90.00 90.00 120.00
Fractional positions:
Sm: 0.0000 0.0000 0.0000
Sm: 0.0000 0.0000 0.5000
Pu: 0.3333 0.6667 0.2500
Pu: 0.6667 0.3333 0.7500
Mg: 0.3333 0.6667 0.7500
Mg: 0.6667 0.3333 0.2500
O: 0.0139 0.3617 0.1397
O: 0.0139 0.6522 0.3603
O: 0.3478 0.3617 0.3603
O: 0.3478 0.9861 0.1397
O: 0.3617 0.0139 0.6397
O: 0.3617 0.3478 0.8603
O: 0.6383 0.6522 0.1397
O: 0.6383 0.9861 0.3603
O: 0.6522 0.0139 0.8603
O: 0.6522 0.6383 0.6397
O: 0.9861 0.3478 0.6397
O: 0.9861 0.6383 0.8603

=====

[6]
VASP calculation (PBE) on crystalline PuMgSnO6 at its relaxed geometry.

Summary:
uncorrected formation energy: -2.114 eV per atom
crystal system: trigonal

Lattice parameters (Å, degrees): 5.4063 5.4063 9.1789 90.00 90.00 120.00
Fractional positions:
Pu: 0.3333 0.6667 0.2500
Pu: 0.6667 0.3333 0.7500
Mg: 0.0000 0.0000 0.0000
Mg: 0.0000 0.0000 0.5000
Sn: 0.3333 0.6667 0.7500
Sn: 0.6667 0.3333 0.2500
O: 0.0028 0.3414 0.1300
O: 0.0028 0.6614 0.3700
O: 0.3386 0.3414 0.3700
O: 0.3386 0.9972 0.1300
O: 0.3414 0.0028 0.6300
O: 0.3414 0.3386 0.8700
O: 0.6586 0.6614 0.1300
O: 0.6586 0.9972 0.3700
O: 0.6614 0.0028 0.8700
O: 0.6614 0.6586 0.6300
O: 0.9972 0.3386 0.6300
O: 0.9972 0.6586 0.8700